(1)
Ac2Pm2Se3S2 | PBE | relaxed

abc: 5.4463 5.4463 10.1437
angles: 105.57 105.57 90.00
Last column: nearest neighbours and their distance in Å.
Fractional coordinates of all 9 atoms:
1 S 0.4126 0.4126 0.8252  4 Pm 3.18, 1 S 3.28
2 S 0.5874 0.5874 0.1748  4 Pm 3.18, 1 S 3.28
3 Ac 0.8219 0.8219 0.6438  5 Se 3.04-3.34
4 Ac 0.1781 0.1781 0.3562  5 Se 3.04-3.34
5 Se 0.0000 0.0000 0.0000  4 Pm 2.72
6 Se 0.2500 0.7500 0.5000  4 Ac 3.04
7 Se 0.7500 0.2500 0.5000  4 Ac 3.04
8 Pm 0.0000 0.5000 0.0000  2 Se 2.72
9 Pm 0.5000 0.0000 0.0000  2 Se 2.72

Formation energy (no corrections): -13.4 eV per formula unit
Space-group type: I4/mmm
Electronic total energy: -49.78 eV/cell
N(E_F): 4.7 states/eV/f.u.

---

(2)
V5Cr6Re | PBE | relaxed

abc: 4.1420 5.8523 6.5458
angles: 90.00 108.44 90.00
Last column: nearest neighbours and their distance in Å.
Fractional coordinates of all 12 atoms:
1 Cr 0.8326 0.2509 0.6652  7 V 2.52-2.54, 1 Re 2.55
2 Cr 0.1674 0.2509 0.3348  7 V 2.52-2.54, 1 Re 2.55
3 Cr 0.8326 0.7491 0.6652  7 V 2.52-2.54, 1 Re 2.55
4 Cr 0.5000 0.7471 0.0000  6 V 2.52-2.55, 2 Re 2.55
5 Cr 0.1674 0.7491 0.3348  7 V 2.52-2.54, 1 Re 2.55
6 Cr 0.5000 0.2529 0.0000  6 V 2.52-2.55, 2 Re 2.55
7 V 0.0000 0.5000 0.0000  8 Cr 2.53-2.54
8 V 0.3323 0.0000 0.6647  8 Cr 2.52-2.55
9 V 0.6677 0.0000 0.3353  8 Cr 2.52-2.55
10 V 0.3334 0.5000 0.6668  8 Cr 2.52-2.53
11 V 0.6666 0.5000 0.3332  8 Cr 2.52-2.53
12 Re 0.0000 0.0000 0.0000  8 Cr 2.55

Space-group type: Cmmm
Electronic total energy: -117.40 eV/cell
N(E_F): 7.3 states/eV/f.u.

---

(3)
Zr2RhBr | PBE | relaxed

abc: 4.7795 4.7795 4.7795
angles: 60.00 60.00 60.00
Last column: nearest neighbours and their distance in Å.
Fractional coordinates of all 4 atoms:
1 Br 0.0000 0.0000 0.0000  8 Zr 2.93
2 Rh 0.5000 0.5000 0.5000  8 Zr 2.93
3 Zr 0.7500 0.7500 0.7500  4 Rh 2.93, 4 Br 2.93
4 Zr 0.2500 0.2500 0.2500  4 Rh 2.93, 4 Br 2.93

Formation energy (no corrections): -1.0 eV per formula unit
Space-group type: Fm-3m
Electronic total energy: -27.15 eV/cell
N(E_F): 4.3 states/eV/f.u.

---

(4)
MgP2RhO8 | PBE | relaxed

abc: 5.5109 5.5109 5.5109
angles: 106.69 106.69 115.18
Last column: nearest neighbours and their distance in Å.
Fractional coordinates of all 12 atoms:
1 O 0.9171 0.5990 0.6819  1 P 1.55
2 O 0.8519 0.6740 0.1779  1 P 1.56
3 O 0.7647 0.0829 0.6819  1 P 1.55
4 O 0.3260 0.5040 0.1779  1 P 1.56
5 O 0.4010 0.0829 0.3181  1 P 1.55
6 O 0.3260 0.1481 0.8221  1 P 1.56
7 O 0.9171 0.2353 0.3181  1 P 1.55
8 O 0.4960 0.6740 0.8221  1 P 1.56
9 P 0.5000 0.5000 0.0000  4 O 1.56
10 P 0.7500 0.2500 0.5000  4 O 1.55
11 Mg 0.0000 0.0000 0.0000  8 O 2.15-2.25
12 Rh 0.2500 0.7500 0.5000  8 O 2.17-2.30

Formation energy (no corrections): -20.1 eV per formula unit
Space-group type: I-4m2
Electronic total energy: -79.53 eV/cell
N(E_F): 4.3 states/eV/f.u.

---

- Among the records above, which one has the lowest electronic total energy?
  V5Cr6Re